Entry 1:
Below is PaGa2Co after structural relaxation, with properties calculated at the PBE-GGA level.

```
data_PaGa2Co
_chemical_formula_sum 'Pa3 Ga6 Co3'
_symmetry_space_group_name_H-M 'R -3 m'
_symmetry_Int_Tables_number 166
_symmetry_space_group_name_Hall '-R 3 2"'
_cell_length_a 4.1102
_cell_length_b 4.1102
_cell_length_c 14.7208
_cell_angle_alpha 90.00
_cell_angle_beta 90.00
_cell_angle_gamma 120.00
loop_
_atom_site_label
_atom_site_type_symbol
_atom_site_fract_x
_atom_site_fract_y
_atom_site_fract_z
_atom_site_occupancy
Pa1 Pa 0.0000 0.0000 0.0000 1
Ga1 Ga 0.0000 0.0000 0.2131 1
Co1 Co 0.0000 0.0000 0.5000 1
```

DFT formation energy ... -0.26 eV/atom
Magnetic moment ... 0.001 Bohr magnetons per cell

---

Entry 2:
Below is YHPt2Au after structural relaxation, with properties calculated at the PBE-GGA level.

```
data_YHPt2Au
_chemical_formula_sum 'Y1 H1 Pt2 Au1'
_symmetry_space_group_name_H-M 'P 4/m m m'
_symmetry_Int_Tables_number 123
_symmetry_space_group_name_Hall '-P 4 2'
_cell_length_a 4.132
_cell_length_b 4.132
_cell_length_c 4.496
_cell_angle_alpha 90.00
_cell_angle_beta 90.00
_cell_angle_gamma 90.00
loop_
_atom_site_label
_atom_site_type_symbol
_atom_site_fract_x
_atom_site_fract_y
_atom_site_fract_z
_atom_site_occupancy
Y1 Y 0.000 0.000 0.000 1
H1 H 0.000 0.000 0.500 1
Pt1 Pt 0.000 0.500 0.500 1
Au1 Au 0.500 0.500 0.000 1
```

Relative energy among the computed polymorphs ... 0.000 eV per formula unit
Magnetic moment ... 0.000 Bohr magnetons per cell

---

Entry 3:
Below is Rb3GeAu2I9 after structural relaxation, with properties calculated at the PBE-GGA level.

```
data_Rb3GeAu2I9
_chemical_formula_sum 'Rb3 Ge1 Au2 I9'
_symmetry_space_group_name_H-M 'P -3 m 1'
_symmetry_Int_Tables_number 164
_symmetry_space_group_name_Hall '-P 3 2"'
_cell_length_a 8.2612
_cell_length_b 8.2612
_cell_length_c 10.1475
_cell_angle_alpha 90.00
_cell_angle_beta 90.00
_cell_angle_gamma 120.00
loop_
_atom_site_label
_atom_site_type_symbol
_atom_site_fract_x
_atom_site_fract_y
_atom_site_fract_z
_atom_site_occupancy
Rb1 Rb 0.0000 0.0000 0.0000 1
Rb2 Rb 0.3333 0.6667 0.6645 1
Ge1 Ge 0.0000 0.0000 0.5000 1
Au1 Au 0.3333 0.6667 0.1611 1
I1 I 0.0000 0.5000 0.0000 1
I2 I 0.1672 0.3345 0.3322 1
```

Uncorrected formation energy ... -9.7 eV per formula unit
Magnetic moment ... 0.000 Bohr magnetons per cell